{"formula": "ThMgSnSe", "functional": "PBE-GGA", "state": "relaxed", "cell": [[4.637, 0.000, 0.000], [0.000, 4.637, 0.000], [0.000, 0.000, 9.721]], "species": ["Th", "Th", "Mg", "Mg", "Sn", "Sn", "Se", "Se"], "fractional_positions": [[0.250, 0.250, 0.189], [0.750, 0.750, 0.811], [0.250, 0.750, 0.500], [0.750, 0.250, 0.500], [0.250, 0.250, 0.691], [0.750, 0.750, 0.309], [0.250, 0.750, 0.000], [0.750, 0.250, 0.000]], "formation_energy_uncorrected_kj_per_mol_fu": -323, "energy_ev_per_atom": -4.96}